No. 1
Entry from Alexandria via LeMat-Bulk: crystalline TaTeOF2 at its relaxed geometry (PBE-GGA).

```
TaTeOF2
1.0
4.828 0.000 0.000
0.000 4.828 0.000
0.000 0.000 4.003
F Te O Ta
2 1 1 1
Cartesian
0.000 2.414 0.000
2.414 0.000 0.000
0.000 0.000 0.000
0.000 0.000 2.001
2.414 2.414 2.001
```

Results
Offset from the most stable computed form: 1.605 eV per atom
Formation energy (no corrections): 15 kJ per mole of atoms
Total magnetic moment: 0.598 μB/atom

No. 2
Entry from Alexandria via LeMat-Bulk: crystalline Np2CdO11 at its relaxed geometry (PBE-GGA).

```
Np2CdO11
1.0
5.231 2.575 6.261
-6.813 -3.150 4.105
4.655 -5.244 -4.900
Np Cd O
4 2 22
Cartesian
1.934 -2.754 0.142
1.140 -3.065 5.323
2.216 1.132 5.720
0.858 -6.952 -0.255
-1.474 -4.341 2.194
4.548 -1.478 3.272
0.463 -3.210 1.215
2.611 -2.609 4.250
2.217 -2.752 6.828
6.144 -3.062 -0.555
0.856 -3.067 -1.362
-3.070 -2.757 6.021
-2.677 -2.614 3.443
5.750 -3.205 2.023
0.000 0.000 0.000
-0.791 -0.288 5.183
2.378 -5.117 0.079
0.696 -0.702 5.387
8.393 -2.279 1.154
-5.319 -3.540 4.311
3.012 -2.440 1.648
0.062 -3.379 3.817
-0.332 -3.522 6.397
3.336 0.225 4.517
3.405 -2.297 -0.932
-0.263 -6.044 0.949
0.131 -5.901 -1.631
2.943 0.082 7.097
```

Results
Formation energy (no corrections): -132 kJ per mole of atoms
Total magnetic moment: 0.294 μB/atom

No. 3
Entry from Alexandria via LeMat-Bulk: crystalline CdHgW2 at its relaxed geometry (PBE-GGA).

```
CdHgW2
1.0
2.782 0.000 0.000
0.000 4.339 0.000
0.000 0.000 6.101
Hg W Cd
1 2 1
Cartesian
1.391 2.169 4.565
0.000 0.000 0.173
1.391 2.169 1.370
0.000 0.000 3.044
```

Results
Offset from the most stable computed form: 0.251 eV per atom
Total magnetic moment: 0.000 μB/atom

No. 4
Entry from Alexandria via LeMat-Bulk: crystalline NaAlI2O at its relaxed geometry (PBE-GGA).

```
NaAlI2O
1.0
-0.540 1.553 5.669
-0.976 -5.637 1.451
4.139 -0.574 0.552
I Na Al O
2 1 1 1
Cartesian
-0.488 -2.819 0.726
-0.270 0.776 2.834
0.000 0.000 0.000
1.312 -2.329 3.836
2.069 -0.287 0.276
```

Results
Offset from the most stable computed form: 1.394 eV per atom
Formation energy (no corrections): 17 kJ per mole of atoms
Total magnetic moment: 0.039 μB/atom

No. 5
Entry from Alexandria via LeMat-Bulk: crystalline Pm2DySc3Se6 at its relaxed geometry (PBE-GGA).

```
Pm2DySc3Se6
1.0
3.986 0.000 0.000
0.000 8.098 0.238
-1.993 -2.389 8.449
Pm Dy Sc Se
2 1 3 6
Cartesian
1.993 3.794 5.765
0.000 1.915 2.922
1.993 0.000 0.000
1.993 4.049 0.119
1.993 -0.225 5.627
0.000 5.934 3.061
0.000 5.976 5.817
1.993 4.077 2.844
1.993 -0.267 2.870
1.993 -0.284 8.408
0.000 5.993 0.280
0.000 1.632 5.844
```

Results
Formation energy (no corrections): -163 kJ per mole of atoms
Total magnetic moment: 0.000 μB/atom

No. 6
Entry from Alexandria via LeMat-Bulk: crystalline ZrScPbBr at its relaxed geometry (PBE-GGA).

```
ZrScPbBr
1.0
0.117 -0.021 9.141
-0.682 -3.317 0.001
5.771 -1.187 -0.081
Zr Sc Pb Br
2 2 2 2
Cartesian
1.993 -0.408 6.648
4.537 -2.660 6.608
1.938 -0.398 2.478
4.483 -2.650 2.438
3.832 -0.788 -0.027
0.605 -1.853 0.014
5.818 -1.195 4.491
2.591 -2.260 4.532
```

Results
Offset from the most stable computed form: 0.057 eV per atom
Formation energy (no corrections): -44 kJ per mole of atoms
Total magnetic moment: 0.000 μB/atom